Record 1
Below is LuZnSb after structural relaxation, with properties calculated at the GGA-PBE level.

Cell: 6.941 6.941 6.941 Å, 90.00 90.00 90.00°
Space group F-43m (No. 216)
Inequivalent atoms, fractional coordinates:
1 Lu 0.000 0.000 0.000 x4
2 Zn 0.250 0.250 0.250 x4
3 Sb 0.250 0.250 0.750 x4

Values from the calculation:
distance to the lowest polymorph of the same formula = 0 meV per atom
crystal system = cubic
total magnetic moment = 0.00 μB per formula unit


Record 2
Below is LuZn2Sb after structural relaxation, with properties calculated at the GGA-PBE level.

Cell: 7.037 7.037 7.037 Å, 90.00 90.00 90.00°
Space group F-43m (No. 216)
Inequivalent atoms, fractional coordinates:
1 Lu 0.000 0.000 0.000 x4
2 Zn 0.000 0.000 0.500 x4
3 Zn 0.250 0.250 0.250 x4
4 Sb 0.250 0.250 0.750 x4

Values from the calculation:
crystal system = cubic
total energy = -46.520 eV per cell
total magnetic moment = 0.00 μB per formula unit